VASP calculation (PBEsol) on an optimized crystal structure of KLiAgSb2.

Summary:
Calculated density: 4.050 g/cm³
Raw total energy: -2.953 eV/atom
Formation energy (no corrections): 73 kJ/mol of formula units
Size of the total moment: 0.000 μB per formula unit

Cell: 5.3621 5.3621 5.6680 Å, 90.00 90.00 90.00°
Space group P4/mmm (No. 123)
Asymmetric unit:
K 0.0000 0.0000 0.0000 [1 per cell]
Li 0.5000 0.5000 0.0000 [1 per cell]
Ag 0.0000 0.0000 0.5000 [1 per cell]
Sb 0.0000 0.5000 0.5000 [2 per cell]

=====

VASP calculation (PBEsol) on an optimized crystal structure of Tb9Ga5S21.

Summary:
Calculated density: 5.707 g/cm³
Raw total energy: -6.012 eV/atom
Formation energy (no corrections): -5457 kJ/mol of formula units
Size of the total moment: 0.000 μB per formula unit

Cell: 16.5576 16.5576 18.0309 Å, 90.00 90.00 120.00°
Space group R3 (No. 146, hexagonal axes)
Asymmetric unit:
Tb 0.0164 0.8216 0.0000 [9 per cell]
Tb 0.0229 0.8215 0.3201 [9 per cell]
Tb 0.0271 0.8262 0.6590 [9 per cell]
Tb 0.1543 0.4661 0.4854 [9 per cell]
Tb 0.1570 0.4679 0.8289 [9 per cell]
Tb 0.1582 0.4680 0.1648 [9 per cell]
Ga 0.0000 0.0000 0.2156 [3 per cell]
Ga 0.0000 0.0000 0.4104 [3 per cell]
Ga 0.0000 0.0000 0.7138 [3 per cell]
Ga 0.0000 0.0000 0.9085 [3 per cell]
Ga 0.0033 0.3307 0.0190 [9 per cell]
Ga 0.0041 0.6679 0.5189 [9 per cell]
S 0.0007 0.3327 0.8951 [9 per cell]
S 0.0025 0.6682 0.3950 [9 per cell]
S 0.0080 0.4630 0.4026 [9 per cell]
S 0.0112 0.8879 0.7987 [9 per cell]
S 0.0118 0.8810 0.4639 [9 per cell]
S 0.0136 0.8807 0.1467 [9 per cell]
S 0.0173 0.4684 0.7405 [9 per cell]
S 0.0227 0.4640 0.0702 [9 per cell]
S 0.1235 0.0121 0.3009 [9 per cell]
S 0.1273 0.7863 0.9066 [9 per cell]
S 0.1288 0.0082 0.9626 [9 per cell]
S 0.1318 0.7764 0.2375 [9 per cell]
S 0.1343 0.0158 0.6450 [9 per cell]
S 0.1355 0.7850 0.5694 [9 per cell]

=====

VASP calculation (PBEsol) on an optimized crystal structure of Ir3Os.

Summary:
Calculated density: 22.656 g/cm³
Raw total energy: -10.364 eV/atom
Size of the total moment: 0.000 μB per formula unit
Formation energy from the elements: 0.231 eV per formula unit

Cell: 2.7240 8.7552 4.7136 Å, 90.00 90.00 90.00°
Space group Imm2 (No. 44)
Asymmetric unit:
Ir 0.0000 0.0000 0.0000 [2 per cell]
Ir 0.0000 0.2481 0.6639 [4 per cell]
Os 0.0000 0.5000 0.9992 [2 per cell]

=====

VASP calculation (PBEsol) on an optimized crystal structure of Pm2CuOs.

Summary:
Calculated density: 10.854 g/cm³
Raw total energy: -6.781 eV/atom
Size of the total moment: 0.000 μB per formula unit
Formation energy from the elements: -0.302 eV per formula unit

Cell: 6.9297 6.9297 6.9297 Å, 90.00 90.00 90.00°
Space group Fm-3m (No. 225)
Asymmetric unit:
Pm 0.2500 0.2500 0.2500 [8 per cell]
Cu 0.0000 0.0000 0.0000 [4 per cell]
Os 0.0000 0.0000 0.5000 [4 per cell]

=====

VASP calculation (PBEsol) on an optimized crystal structure of SrBe2CuHg.

Summary:
Calculated density: 6.468 g/cm³
Raw total energy: -2.690 eV/atom
Size of the total moment: 0.000 μB per formula unit
Formation energy from the elements: 1.291 eV per formula unit

Cell: 4.4050 4.4050 4.8926 Å, 90.00 90.00 90.00°
Space group P4/mmm (No. 123)
Asymmetric unit:
Sr 0.0000 0.0000 0.0000 [1 per cell]
Be 0.0000 0.5000 0.5000 [2 per cell]
Cu 0.5000 0.5000 0.5000 [1 per cell]
Hg 0.5000 0.5000 0.0000 [1 per cell]

=====

VASP calculation (PBEsol) on an optimized crystal structure of MnOs3.

Summary:
Calculated density: 19.687 g/cm³
Raw total energy: -11.607 eV/atom
Size of the total moment: 0.004 μB per formula unit
Formation energy from the elements: -0.018 eV per formula unit

Cell: 2.6940 4.2161 4.6462 Å, 90.00 90.00 90.00°
Space group Pmm2 (No. 25)
Asymmetric unit:
Mn 0.0000 0.0000 0.0000 [1 per cell]
Os 0.0000 0.5000 0.3276 [1 per cell]
Os 0.5000 0.0000 0.5065 [1 per cell]
Os 0.5000 0.5000 0.8460 [1 per cell]